[1]
Below is a relaxed AsPd crystal, with properties calculated at the GGA-PBE level.

Results
ΔH_f (0 K) = -118 meV per atom
Space group = No. 225
Size of the total moment = 0.0 Bohr magnetons per cell

```
AsPd
1.0
5.2374 0.0000 0.0000
0.0000 5.2374 0.0000
0.0000 0.0000 5.2374
Pd As
4 4
Direct
0.0000 0.5000 0.0000
0.5000 0.0000 0.0000
0.0000 0.0000 0.5000
0.5000 0.5000 0.5000
0.5000 0.5000 0.0000
0.0000 0.0000 0.0000
0.0000 0.5000 0.5000
0.5000 0.0000 0.5000
```

=====

[2]
Below is a relaxed Nd2Ho5Tm crystal, with properties calculated at the GGA-PBE level.

Results
ΔH_f (0 K) = 22 meV per atom
Space group = No. 55
Size of the total moment = 0.0 Bohr magnetons per cell

```
Nd2Ho5Tm
1.0
-0.1250 2.7752 4.1860
-4.8946 -4.3742 2.7539
10.3327 -8.0203 5.6257
Ho Nd Tm
10 4 2
Direct
0.0000 0.5000 0.5000
0.5000 0.7513 0.1249
0.5000 0.2513 0.3751
0.0000 0.5015 0.2498
0.5000 0.7487 0.6249
0.0000 0.0015 0.2502
0.0000 0.9985 0.7498
0.5000 0.2487 0.8751
0.0000 0.4985 0.7502
0.0000 0.0000 0.0000
0.5000 0.7512 0.3752
0.5000 0.2512 0.1248
0.5000 0.2488 0.6248
0.5000 0.7488 0.8752
0.0000 0.5000 0.0000
0.0000 0.0000 0.5000
```

=====

[3]
Below is a relaxed ReAgPb crystal, with properties calculated at the GGA-PBE level.

Results
ΔH_f (0 K) = 1017 meV per atom
Space group = No. 44
Size of the total moment = 0.0 Bohr magnetons per cell

```
ReAgPb
1.0
-4.0998 -3.2289 -0.9026
0.5845 -4.3521 -2.9608
1.4032 2.7445 4.3067
Pb Ag Re
1 1 1
Direct
0.3310 0.3310 0.0000
0.0120 0.0120 0.0000
0.6569 0.6569 0.0000
```

=====

[4]
Below is a relaxed PSN crystal, with properties calculated at the GGA-PBE level.

Results
Space group = No. 14
Size of the total moment = 0.0 Bohr magnetons per cell
Formation energy (no corrections) = 0.024 eV/atom

```
PSN
1.0
-2.2116 -4.0139 1.8190
1.8519 -4.3458 -7.3379
5.0888 0.0897 6.3850
N P S
4 4 4
Direct
0.0403 0.2646 0.9468
0.9597 0.7354 0.0532
0.4597 0.7646 0.9468
0.5403 0.2354 0.0532
0.2767 0.7407 0.0925
0.7767 0.7593 0.9075
0.7233 0.2593 0.9075
0.2233 0.2407 0.0925
0.8942 0.7805 0.6981
0.1058 0.2195 0.3019
0.6058 0.2805 0.6981
0.3942 0.7195 0.3019
```

=====

[5]
Below is a relaxed Tb3Pr2Sn crystal, with properties calculated at the GGA-PBE level.

Results
ΔH_f (0 K) = -246 meV per atom
Space group = No. 65
Size of the total moment = 0.0 Bohr magnetons per cell

```
Tb3Pr2Sn
1.0
-4.4957 1.3394 -1.4588
-0.1087 -3.7841 -3.1392
-3.0462 -2.5571 7.0401
Tb Pr Sn
3 2 1
Direct
0.5000 0.1614 0.3228
0.5000 0.5000 0.0000
0.5000 0.8386 0.6772
0.0000 0.6607 0.3215
0.0000 0.3393 0.6785
0.0000 0.0000 0.0000
```

=====

[6]
Below is a relaxed La5Pr12Sm2 crystal, with properties calculated at the GGA-PBE level.

Results
ΔH_f (0 K) = 94 meV per atom
Space group = No. 12
Size of the total moment = 0.0 Bohr magnetons per cell

```
La5Pr12Sm2
1.0
10.6674 0.0000 0.0000
-5.3337 7.9121 1.8701
0.0000 6.0227 9.8121
Pr La Sm
12 5 2
Direct
0.1395 0.7953 0.3993
0.8605 0.2047 0.6007
0.6558 0.7953 0.3993
0.0369 0.5925 0.8067
0.0949 0.1898 0.1012
0.4444 0.4075 0.1933
0.5983 0.1967 0.1132
0.3442 0.2047 0.6007
0.4017 0.8033 0.8868
0.9051 0.8102 0.8988
0.5556 0.5925 0.8067
0.9631 0.4075 0.1933
0.2143 0.4286 0.6895
0.7857 0.5714 0.3105
0.0000 0.0000 0.5000
0.6966 0.3932 0.7068
0.3034 0.6068 0.2932
0.7496 0.0000 0.0000
0.2504 0.0000 0.0000
```

=====

Look up the size of the total moment of the first one. 0.0 Bohr magnetons per cell

=====

Copy entry 5 word for word.
Below is a relaxed Tb3Pr2Sn crystal, with properties calculated at the GGA-PBE level.

Results
ΔH_f (0 K) = -246 meV per atom
Space group = No. 65
Size of the total moment = 0.0 Bohr magnetons per cell

```
Tb3Pr2Sn
1.0
-4.4957 1.3394 -1.4588
-0.1087 -3.7841 -3.1392
-3.0462 -2.5571 7.0401
Tb Pr Sn
3 2 1
Direct
0.5000 0.1614 0.3228
0.5000 0.5000 0.0000
0.5000 0.8386 0.6772
0.0000 0.6607 0.3215
0.0000 0.3393 0.6785
0.0000 0.0000 0.0000
```